(1)
The following is a DFT calculation (PBE) of crystalline NaLiAsBr2 at its relaxed geometry.

Computed properties:
Total moment: 2.9 μB per formula unit
E above lowest polymorph: 0.00 kJ/mol of atoms
Energy: -2.684 eV per atom

abc: 5.295 5.295 5.171
angles: 90.00 90.00 90.00
Sites, in units of the cell vectors:
1 Na 0.000 0.000 0.000
2 Li 0.500 0.500 0.500
3 As 0.500 0.500 0.000
4 Br 0.000 0.500 0.500
5 Br 0.500 0.000 0.500

***

(2)
The following is a DFT calculation (PBE) of crystalline Na4NdTm3Se8 at its relaxed geometry.

Computed properties:
Total moment: 0.0 μB per formula unit
Energy: -4.899 eV per atom

abc: 8.487 8.487 8.487
angles: 58.46 58.46 58.46
Sites, in units of the cell vectors:
1 Na 0.000 0.000 0.000
2 Na 0.000 0.500 0.500
3 Na 0.500 0.000 0.500
4 Na 0.500 0.500 0.000
5 Nd 0.500 0.500 0.500
6 Tm 0.000 0.000 0.500
7 Tm 0.000 0.500 0.000
8 Tm 0.500 0.000 0.000
9 Se 0.234 0.748 0.748
10 Se 0.242 0.242 0.242
11 Se 0.252 0.252 0.766
12 Se 0.252 0.766 0.252
13 Se 0.748 0.234 0.748
14 Se 0.748 0.748 0.234
15 Se 0.758 0.758 0.758
16 Se 0.766 0.252 0.252

***

(3)
The following is a DFT calculation (PBE) of crystalline YTeRuF2 at its relaxed geometry.

Computed properties:
Total moment: 1.3 μB per formula unit
Energy: -6.290 eV per atom

abc: 4.160 4.160 6.182
angles: 90.00 90.00 90.00
Sites, in units of the cell vectors:
1 Y 0.000 0.000 0.000
2 Te 0.500 0.500 0.500
3 Ru 0.000 0.000 0.500
4 F 0.000 0.500 0.000
5 F 0.500 0.000 0.000